Here is a relaxed Th3TlRu crystal from Alexandria via LeMat-Bulk. Energies are from PBE.

Summary:
Final energy (eV/atom): -6.980
Magnetic moment (μB per formula unit): 0.0
DOS at the Fermi energy (states/eV/atom): 0.94

Cell lengths 5.9708, 7.2344, 7.2148 Å; angles 90.00, 112.94, 90.00 degrees
With the nearest neighbours (Å) after each atom.
Space group P2_1/m (No. 11)
Inequivalent atoms, fractional coordinates:
Th: 0.0139 0.2500 0.3408  1 Ru 2.89
Th: 0.4417 0.5175 0.2150  2 Ru 2.71-2.86
Tl: 0.0871 0.2500 0.8378  1 Ru 2.87
Ru: 0.3657 0.7500 0.5052  5 Th 2.71-2.89, 1 Tl 2.87